# MnS2F | Alexandria | PBE+U | relaxed
# Distance to the lowest polymorph of the same formula (eV per atom): 0.8930
# Density (g/cm3): 3.94
# Total DFT energy (no corrections) (eV per atom): -3.934
data_MnS2F
_space_group_name_H-M_alt 'P 1'
_space_group_IT_number 1
_cell_length_a 8.710
_cell_length_b 8.710
_cell_length_c 8.710
_cell_angle_alpha 18.50
_cell_angle_beta 18.50
_cell_angle_gamma 18.50
loop_
_space_group_symop_operation_xyz
'x,y,z'
loop_
_atom_site_label
_atom_site_fract_x
_atom_site_fract_y
_atom_site_fract_z
S1 0.909 0.909 0.909
S2 0.091 0.091 0.091
Mn1 0.000 0.000 0.000
F1 0.500 0.500 0.500